The following is a DFT calculation (GGA-PBE) of a geometry-optimized NbBRuSe2 structure.

a = 4.6921 Å, b = 4.9696 Å, c = 4.6921 Å
α = 90.00°, β = 90.00°, γ = 90.00°
With the nearest neighbours (Å) after each atom.
Positions (direct):
Nb (0.0000, 0.5000, 0.0000)  2 Ru 2.48
Se (0.5000, 0.0000, 0.0000)  2 Ru 2.35
Se (0.0000, 0.0000, 0.5000)  2 Ru 2.35
B (0.5000, 0.5000, 0.5000)  4 Nb 3.32, 8 Se 3.42
Ru (0.0000, 0.0000, 0.0000)  4 Se 2.35, 2 Nb 2.48

## Properties
* formation energy (no corrections): 7.572 eV/f.u.
* density of states at the Fermi level: 7.1 states/eV/cell

The following is a DFT calculation (GGA-PBE) of a geometry-optimized ZnPd4 structure.

a = 5.2940 Å, b = 5.2940 Å, c = 7.1236 Å
α = 98.93°, β = 98.93°, γ = 125.62°
With the nearest neighbours (Å) after each atom.
Positions (direct):
Pd (0.2461, 0.7939, 0.1024)  3 Zn 2.62-2.87, 7 Pd 2.69-2.82
Pd (0.1099, 0.5484, 0.6958)  2 Zn 2.68-2.85, 9 Pd 2.69-2.95
Pd (0.7984, 0.8599, 0.1958)  2 Zn 2.68-2.85, 9 Pd 2.69-2.95
Pd (0.6915, 0.1437, 0.8976)  3 Zn 2.62-2.87, 7 Pd 2.69-2.82
Pd (0.6642, 0.6026, 0.8042)  2 Zn 2.68-2.85, 9 Pd 2.69-2.95
Pd (0.0439, 0.9961, 0.6024)  3 Zn 2.62-2.87, 7 Pd 2.69-2.82
Pd (0.8526, 0.4142, 0.3042)  2 Zn 2.68-2.85, 9 Pd 2.69-2.95
Pd (0.3937, 0.4415, 0.3976)  3 Zn 2.62-2.87, 7 Pd 2.69-2.82
Zn (0.2518, 0.2518, 0.0000)  10 Pd 2.62-2.87
Zn (0.5018, 0.0018, 0.5000)  10 Pd 2.62-2.87

## Properties
* ΔE to the lowest computed polymorph: 0.000 eV per atom
* energy relative to the elements: -1.0 eV per formula unit
* density of states at the Fermi level: 15.5 states/eV/cell

The following is a DFT calculation (GGA-PBE) of a geometry-optimized Ca2TaBiTe structure.

a = 5.6824 Å, b = 5.9751 Å, c = 5.6824 Å
α = 90.00°, β = 90.00°, γ = 90.00°
With the nearest neighbours (Å) after each atom.
Positions (direct):
Ca (0.0000, 0.0000, 0.5000)  2 Te 2.84
Ca (0.5000, 0.0000, 0.0000)  2 Te 2.84
Ta (0.5000, 0.5000, 0.5000)  4 Bi 4.02, 8 Ca 4.12
Bi (0.0000, 0.5000, 0.0000)  2 Te 2.99
Te (0.0000, 0.0000, 0.0000)  4 Ca 2.84, 2 Bi 2.99

## Properties
* formation energy (no corrections): 3.895 eV/f.u.
* density of states at the Fermi level: 5.0 states/eV/cell